Entry 1:
First-principles (PBE) data for an optimized crystal structure of NdTm5In3, as listed in Alexandria via LeMat-Bulk.

Cell and atoms, written as POSCAR:
```
NdTm5In3
1.0
9.2845 0.0000 0.0000
-4.6422 8.0406 0.0000
0.0000 0.0000 6.6889
Nd Tm In
2 10 6
Direct
0.0000 0.0000 0.0000
0.0000 0.0000 0.5000
0.0000 0.3309 0.2500
0.0000 0.6691 0.7500
0.3309 0.0000 0.2500
0.3309 0.3309 0.7500
0.3333 0.6667 0.0000
0.3333 0.6667 0.5000
0.6667 0.3333 0.0000
0.6667 0.3333 0.5000
0.6691 0.0000 0.7500
0.6691 0.6691 0.2500
0.0000 0.3405 0.7500
0.0000 0.6595 0.2500
0.3405 0.0000 0.7500
0.3405 0.3405 0.2500
0.6595 0.0000 0.2500
0.6595 0.6595 0.7500
```

Output
**Calculated volume**: 27.74 A^3/atom
**Formation enthalpy at 0 K**: -0.342 eV/atom
**SG**: P6_3/mcm, No. 193
**Magnetic moment**: 0.005 μB/cell

Entry 2:
First-principles (PBE) data for an optimized crystal structure of Tm6GaCo, as listed in Alexandria via LeMat-Bulk.

Cell and atoms, written as POSCAR:
```
Tm6GaCo
1.0
3.3254 -5.5504 0.0000
3.3254 5.5504 0.0000
-2.4948 0.0000 5.9851
Tm Ga Co
6 1 1
Direct
0.0382 0.4113 0.2428
0.2340 0.2340 0.7700
0.4113 0.0382 0.2428
0.5887 0.9618 0.7572
0.7660 0.7660 0.2300
0.9618 0.5887 0.7572
0.5000 0.5000 0.5000
0.0000 0.0000 0.0000
```

Output
**Calculated volume**: 27.62 A^3/atom
**Formation enthalpy at 0 K**: -0.055 eV/atom
**SG**: C2/m, No. 12
**Magnetic moment**: 0.000 μB/cell

Entry 3:
First-principles (PBE) data for an optimized crystal structure of Dy6CdIr, as listed in Alexandria via LeMat-Bulk.

Cell and atoms, written as POSCAR:
```
Dy6CdIr
1.0
6.8925 0.0000 0.0000
-3.4413 5.9864 0.0000
-3.4264 -1.9914 6.2931
Dy Cd Ir
6 1 1
Direct
0.0376 0.0797 0.2538
0.2953 0.7158 0.2532
0.3241 0.5410 0.7467
0.6759 0.4590 0.2533
0.7047 0.2842 0.7468
0.9624 0.9203 0.7462
0.5000 0.0000 0.0000
0.5000 0.5000 0.5000
```

Output
**Calculated volume**: 32.46 A^3/atom
**Formation enthalpy at 0 K**: -0.106 eV/atom
**SG**: P-1, No. 2
**Magnetic moment**: 0.000 μB/cell

Entry 4:
First-principles (PBE) data for an optimized crystal structure of Li3PmIn3, as listed in Alexandria via LeMat-Bulk.

Cell and atoms, written as POSCAR:
```
Li3PmIn3
1.0
7.0814 0.0000 0.0000
0.0000 7.0814 0.0000
0.0000 0.0000 7.0814
Li Pm In
6 2 6
Direct
0.0000 0.2500 0.5000
0.0000 0.7500 0.5000
0.2500 0.5000 0.0000
0.5000 0.0000 0.2500
0.5000 0.0000 0.7500
0.7500 0.5000 0.0000
0.0000 0.0000 0.0000
0.5000 0.5000 0.5000
0.0000 0.5000 0.2500
0.0000 0.5000 0.7500
0.2500 0.0000 0.5000
0.5000 0.2500 0.0000
0.5000 0.7500 0.0000
0.7500 0.0000 0.5000
```

Output
**Calculated volume**: 25.36 A^3/atom
**Formation enthalpy at 0 K**: 0.162 eV/atom
**SG**: Pm-3n, No. 223
**Magnetic moment**: 0.000 μB/cell

Entry 5:
First-principles (PBE) data for an optimized crystal structure of K3NpPb2S6, as listed in Alexandria via LeMat-Bulk.

Cell and atoms, written as POSCAR:
```
K3NpPb2S6
1.0
3.6690 -6.3464 0.0000
3.6690 6.3464 0.0000
-2.4600 0.0000 7.2504
K Np Pb S
3 1 2 6
Direct
0.0000 0.0000 0.0000
0.3261 0.6739 0.0000
0.6739 0.3261 0.0000
0.5000 0.5000 0.5000
0.1659 0.8341 0.5000
0.8341 0.1659 0.5000
0.1318 0.4314 0.2940
0.2717 0.2717 0.7058
0.4314 0.1318 0.2940
0.5686 0.8682 0.7060
0.7283 0.7283 0.2942
0.8682 0.5686 0.7060
```

Output
**Calculated volume**: 28.14 A^3/atom
**SG**: C2/m, No. 12
**Magnetic moment**: 2.000 μB/cell
**Formation energy (no corrections)**: -102 kJ/mol of atoms

Entry 6:
First-principles (PBE) data for an optimized crystal structure of Ti2GaSe, as listed in Alexandria via LeMat-Bulk.

Cell and atoms, written as POSCAR:
```
Ti2GaSe
1.0
0.0000 3.2140 3.2140
3.2140 0.0000 3.2140
3.2140 3.2140 0.0000
Ti Ga Se
2 1 1
Direct
0.2500 0.2500 0.2500
0.7500 0.7500 0.7500
0.0000 0.0000 0.0000
0.5000 0.5000 0.5000
```

Output
**Calculated volume**: 16.60 A^3/atom
**Energy relative to the lowest polymorph listed for this composition**: 0.241 eV/atom
**SG**: Fm-3m, No. 225
**Magnetic moment**: 0.419 μB/cell
**Formation energy (no corrections)**: -30 kJ/mol of atoms

The calculation returns the following N(E_F) values, one per record and in order: 18.46, 9.65, 11.06, 6.42, 7.39, 6.72 states/eV/cell.
The calculation returns the following electronic total energy values, one per record and in order: -76.83, -37.40, -38.24, -35.14, -61.16, -23.56 eV for the cell shown.